Record 1
Cs3HS2F12: optimized geometry, PBEsol.

a = 10.1079 Å, b = 10.3111 Å, c = 6.2396 Å
α = 90.00°, β = 90.00°, γ = 90.00°
Atoms (fractional coordinates):
1 Cs 0.0000 0.0000 0.0000
2 Cs 0.2107 0.2885 0.4986
3 Cs 0.2893 0.7885 0.4986
4 Cs 0.5000 0.5000 0.0000
5 Cs 0.7107 0.2115 0.4986
6 Cs 0.7893 0.7115 0.4986
7 H 0.0000 0.0000 0.4987
8 H 0.5000 0.5000 0.4987
9 S 0.1217 0.5978 0.9984
10 S 0.3783 0.0978 0.9984
11 S 0.6217 0.9022 0.9984
12 S 0.8783 0.4022 0.9984
13 F 0.0167 0.8907 0.4985
14 F 0.0364 0.6831 0.1908
15 F 0.0374 0.6821 0.8038
16 F 0.2247 0.7192 0.9984
17 F 0.2278 0.5341 0.2035
18 F 0.2287 0.5332 0.7956
19 F 0.2713 0.0332 0.7956
20 F 0.2722 0.0341 0.2035
21 F 0.2753 0.2192 0.9984
22 F 0.4626 0.1821 0.8038
23 F 0.4636 0.1831 0.1908
24 F 0.4833 0.3907 0.4985
25 F 0.5167 0.6093 0.4985
26 F 0.5364 0.8169 0.1908
27 F 0.5374 0.8179 0.8038
28 F 0.7247 0.7808 0.9984
29 F 0.7278 0.9659 0.2035
30 F 0.7287 0.9668 0.7956
31 F 0.7713 0.4668 0.7956
32 F 0.7722 0.4659 0.2035
33 F 0.7753 0.2808 0.9984
34 F 0.9626 0.3179 0.8038
35 F 0.9636 0.3169 0.1908
36 F 0.9833 0.1093 0.4985

* VASP energy: -4.2502 eV per atom
* crystal system: orthorhombic
* space-group type: Pba2 (32)


Record 2
Cs2HfF: optimized geometry, PBEsol.

a = 7.6358 Å, b = 7.6358 Å, c = 7.6358 Å
α = 112.30°, β = 112.30°, γ = 103.96°
Atoms (fractional coordinates):
1 Cs 0.0139 0.1250 0.3889
2 Cs 0.3750 0.9861 0.1111
3 Cs 0.7361 0.6250 0.6111
4 Cs 0.8750 0.2639 0.8889
5 Hf 0.2500 0.7500 0.5000
6 Hf 0.5000 0.5000 0.0000
7 F 0.0000 0.0000 0.0000
8 F 0.7500 0.2500 0.5000

* VASP energy: -3.5852 eV per atom
* crystal system: tetragonal
* space-group type: I-42d (122)
* uncorrected formation energy: -0.01 eV per atom


Record 3
CsHfN2F: optimized geometry, PBEsol.

a = 4.2360 Å, b = 4.2360 Å, c = 4.4756 Å
α = 90.00°, β = 90.00°, γ = 90.00°
Atoms (fractional coordinates):
1 Cs 0.0000 0.0000 0.0000
2 Hf 0.5000 0.5000 0.5000
3 N 0.0000 0.5000 0.5000
4 N 0.5000 0.0000 0.5000
5 F 0.5000 0.5000 0.0000

* VASP energy: -7.1355 eV per atom
* crystal system: tetragonal
* space-group type: P4/mmm (123)
* uncorrected formation energy: -1.05 eV per atom


Record 4
CsHfNF2: optimized geometry, PBEsol.

a = 4.4028 Å, b = 4.4028 Å, c = 4.1281 Å
α = 90.00°, β = 90.00°, γ = 90.00°
Atoms (fractional coordinates):
1 Cs 0.0000 0.0000 0.0000
2 Hf 0.5000 0.5000 0.5000
3 N 0.5000 0.5000 0.0000
4 F 0.0000 0.5000 0.5000
5 F 0.5000 0.0000 0.5000

* VASP energy: -7.0017 eV per atom
* crystal system: tetragonal
* space-group type: P4/mmm (123)
* uncorrected formation energy: -2.24 eV per atom


Record 5
CsHgF3: optimized geometry, PBEsol.

a = 4.5748 Å, b = 4.5748 Å, c = 4.5748 Å
α = 90.00°, β = 90.00°, γ = 90.00°
Atoms (fractional coordinates):
1 Cs 0.0000 0.0000 0.0000
2 Hg 0.5000 0.5000 0.5000
3 F 0.0000 0.5000 0.5000
4 F 0.5000 0.0000 0.5000
5 F 0.5000 0.5000 0.0000

* VASP energy: -3.4601 eV per atom
* crystal system: cubic
* space-group type: Pm-3m (221)
* uncorrected formation energy: -2.00 eV per atom


Record 6
Cs2HgF4: optimized geometry, PBEsol.

a = 7.8759 Å, b = 7.8759 Å, c = 7.8759 Å
α = 145.77°, β = 145.77°, γ = 49.19°
Atoms (fractional coordinates):
1 Cs 0.1425 0.1425 0.0000
2 Cs 0.8575 0.8575 0.0000
3 Hg 0.5000 0.5000 0.0000
4 F 0.0000 0.5000 0.5000
5 F 0.3432 0.3432 0.0000
6 F 0.5000 0.0000 0.5000
7 F 0.6568 0.6568 0.0000

* VASP energy: -3.6695 eV per atom
* crystal system: tetragonal
* space-group type: I4/mmm (139)
* uncorrected formation energy: -2.22 eV per atom


Record 7
CsHgF2: optimized geometry, PBEsol.

a = 7.0783 Å, b = 7.0783 Å, c = 7.0783 Å
α = 127.34°, β = 127.34°, γ = 77.69°
Atoms (fractional coordinates):
1 Cs 0.0000 0.0000 0.0000
2 Cs 0.7500 0.2500 0.5000
3 Hg 0.2500 0.7500 0.5000
4 Hg 0.5000 0.5000 0.0000
5 F 0.1842 0.6250 0.0592
6 F 0.3750 0.4342 0.5592
7 F 0.5658 0.1250 0.9408
8 F 0.8750 0.8158 0.4408

* VASP energy: -3.0187 eV per atom
* crystal system: tetragonal
* space-group type: I-42d (122)
* uncorrected formation energy: -1.68 eV per atom


Record 8
Cs2HgIrF6: optimized geometry, PBEsol.

a = 6.7490 Å, b = 6.7490 Å, c = 6.7490 Å
α = 60.00°, β = 60.00°, γ = 60.00°
Atoms (fractional coordinates):
1 Cs 0.2500 0.2500 0.2500
2 Cs 0.7500 0.7500 0.7500
3 Hg 0.0000 0.0000 0.0000
4 Ir 0.5000 0.5000 0.5000
5 F 0.2951 0.2951 0.7049
6 F 0.2951 0.7049 0.2951
7 F 0.2951 0.7049 0.7049
8 F 0.7049 0.2951 0.2951
9 F 0.7049 0.2951 0.7049
10 F 0.7049 0.7049 0.2951

* VASP energy: -4.2768 eV per atom
* crystal system: cubic
* space-group type: Fm-3m (225)
* uncorrected formation energy: -1.89 eV per atom


Record 9
Cs2MnHgF: optimized geometry, PBEsol.

a = 6.9193 Å, b = 6.9193 Å, c = 5.0633 Å
α = 90.00°, β = 90.00°, γ = 90.00°
Atoms (fractional coordinates):
1 Cs 0.0000 0.5000 0.0000
2 Cs 0.5000 0.0000 0.0000
3 Mn 0.0000 0.0000 0.5000
4 Hg 0.5000 0.5000 0.0000
5 F 0.5000 0.5000 0.5000

* VASP energy: -2.7455 eV per atom
* crystal system: tetragonal
* space-group type: P4/mmm (123)
* uncorrected formation energy: 0.08 eV per atom


Record 10
Cs2HgPdF6: optimized geometry, PBEsol.

a = 6.3083 Å, b = 6.3083 Å, c = 6.3083 Å
α = 60.00°, β = 60.00°, γ = 60.00°
Atoms (fractional coordinates):
1 Cs 0.2500 0.2500 0.2500
2 Cs 0.7500 0.7500 0.7500
3 Hg 0.0000 0.0000 0.0000
4 Pd 0.5000 0.5000 0.5000
5 F 0.2661 0.2661 0.7339
6 F 0.2661 0.7339 0.2661
7 F 0.2661 0.7339 0.7339
8 F 0.7339 0.2661 0.2661
9 F 0.7339 0.2661 0.7339
10 F 0.7339 0.7339 0.2661

* VASP energy: -3.9128 eV per atom
* crystal system: cubic
* space-group type: Fm-3m (225)
* uncorrected formation energy: -1.92 eV per atom


Record 11
Cs2IF: optimized geometry, PBEsol.

a = 7.5757 Å, b = 7.5757 Å, c = 7.5757 Å
α = 111.17°, β = 111.17°, γ = 106.12°
Atoms (fractional coordinates):
1 Cs 0.0347 0.1250 0.4097
2 Cs 0.3750 0.9653 0.0903
3 Cs 0.7153 0.6250 0.5903
4 Cs 0.8750 0.2847 0.9097
5 I 0.2500 0.7500 0.5000
6 I 0.5000 0.5000 0.0000
7 F 0.0000 0.0000 0.0000
8 F 0.7500 0.2500 0.5000

* VASP energy: -3.4518 eV per atom
* crystal system: tetragonal
* space-group type: I-42d (122)
* uncorrected formation energy: -2.06 eV per atom


Record 12
CsPPbI2F6: optimized geometry, PBEsol.

a = 6.1609 Å, b = 6.1609 Å, c = 8.4167 Å
α = 90.00°, β = 90.00°, γ = 90.00°
Atoms (fractional coordinates):
1 Cs 0.0000 0.0000 0.0000
2 P 0.5000 0.5000 0.0000
3 Pb 0.5000 0.5000 0.5000
4 I 0.0000 0.5000 0.5000
5 I 0.5000 0.0000 0.5000
6 F 0.2363 0.5000 0.0000
7 F 0.5000 0.2363 0.0000
8 F 0.5000 0.5000 0.1947
9 F 0.5000 0.5000 0.8053
10 F 0.5000 0.7637 0.0000
11 F 0.7637 0.5000 0.0000

* VASP energy: -4.5011 eV per atom
* crystal system: tetragonal
* space-group type: P4/mmm (123)
* uncorrected formation energy: -2.15 eV per atom


Which value of VASP energy does entry 7 give?
-3.0187 eV per atom


Which value of VASP energy does entry 4 give?
-7.0017 eV per atom


Which of these has the lowest VASP energy?
CsHfN2F


Which formula does entry 1 have?
Cs3HS2F12